Record 1
A plane-wave DFT calculation with PBE was carried out for a geometry-optimized Rb2ScSeO6 structure.

## Properties
- Raw formation energy: -15.5 eV/f.u.
- Crystal system: trigonal
- Magnetization: 1.053 μB per formula unit
- SG: No. 164
- Fermi-level density of states: 1.50 states/eV/cell

a = 5.374 Å, b = 6.395 Å, c = 6.395 Å
α = 120.00°, β = 90.00°, γ = 90.00°
Sites, in units of the cell vectors:
Rb (0.152, 0.333, 0.667)
Rb (0.848, 0.667, 0.333)
Sc (0.500, 0.000, 0.000)
Se (0.000, 0.000, 0.000)
O (0.793, 0.131, 0.263)
O (0.793, 0.131, 0.869)
O (0.793, 0.737, 0.869)
O (0.207, 0.869, 0.131)
O (0.207, 0.263, 0.131)
O (0.207, 0.869, 0.737)

Record 2
A plane-wave DFT calculation with PBE was carried out for a geometry-optimized Rb3ScTa2O8 structure.

## Properties
- Raw formation energy: -37.0 eV/f.u.
- Crystal system: trigonal
- Magnetization: 0.000 μB per formula unit
- SG: No. 164
- Fermi-level density of states: 0.00 states/eV/cell

a = 6.114 Å, b = 6.114 Å, c = 8.011 Å
α = 90.00°, β = 90.00°, γ = 120.00°
Sites, in units of the cell vectors:
Rb (0.333, 0.667, 0.703)
Rb (0.667, 0.333, 0.297)
Rb (0.000, 0.000, 0.000)
Sc (0.000, 0.000, 0.500)
Ta (0.333, 0.667, 0.266)
Ta (0.667, 0.333, 0.734)
O (0.333, 0.667, 0.039)
O (0.667, 0.333, 0.961)
O (0.165, 0.835, 0.344)
O (0.835, 0.165, 0.656)
O (0.165, 0.330, 0.344)
O (0.835, 0.670, 0.656)
O (0.670, 0.835, 0.344)
O (0.330, 0.165, 0.656)

Which value of Fermi-level density of states does entry 1 give? 1.50 states/eV/cell